Entry 1:
# ScAs2

A relaxed structure of ScAs2 (PBE, the Alexandria database).

Theoretical density in g cm⁻³: 5.53
ΔH_f (0 K) in eV/atom: -0.6935

Lattice parameters (Å, degrees): 3.6134 3.6134 8.9539 90.00 90.00 90.00
Space group I4/mmm (No. 139)
Inequivalent atoms, fractional coordinates:
Sc 0.0000 0.0000 0.0000 x2
As 0.0000 0.0000 0.3573 x4

Entry 2:
# ScAs2

A relaxed structure of ScAs2 (PBE, the Alexandria database).

Theoretical density in g cm⁻³: 4.50
ΔH_f (0 K) in eV/atom: -0.6668

Lattice parameters (Å, degrees): 3.6047 3.6047 22.1316 90.00 90.00 90.00
Space group I4_1/amd (No. 141, origin choice 2)
Inequivalent atoms, fractional coordinates:
Sc 0.0000 0.2500 0.3750 x4
As 0.0000 0.2500 0.8190 x8

Entry 3:
# ScAs2

A relaxed structure of ScAs2 (PBE, the Alexandria database).

Theoretical density in g cm⁻³: 5.19
ΔH_f (0 K) in eV/atom: -0.2591

Lattice parameters (Å, degrees): 3.2364 3.2364 6.8761 90.00 90.00 120.00
Space group P-3m1 (No. 164)
Inequivalent atoms, fractional coordinates:
Sc 0.0000 0.0000 0.0000 x1
As 0.3333 0.6667 0.6954 x2

Entry 4:
# ScAs3

A relaxed structure of ScAs3 (PBE, the Alexandria database).

Theoretical density in g cm⁻³: 3.35
ΔH_f (0 K) in eV/atom: 0.3071

Lattice parameters (Å, degrees): 5.1158 5.1158 5.1158 90.00 90.00 90.00
Space group Pm-3m (No. 221)
Inequivalent atoms, fractional coordinates:
Sc 0.0000 0.0000 0.0000 x1
As 0.0000 0.0000 0.5000 x3